Entry 1:
SiBi3P: relaxed, GGA-PBE.

a b c (Å): 5.395 5.395 5.395
angles (deg): 90.00 90.00 90.00
Fractional positions:
Bi 0.000 0.000 0.500
Bi 0.500 0.000 0.000
Bi 0.000 0.500 0.000
Si 0.500 0.500 0.500
P 0.000 0.000 0.000

Values from the calculation:
Symmetry ... Pm-3m (221)
Distance to the lowest polymorph of the same formula ... 0.0 kJ per mole of atoms
ΔE_f (raw) ... 0.8298 eV per atom

Entry 2:
LiCa2Os: relaxed, GGA-PBE.

a b c (Å): 4.460 4.460 10.106
angles (deg): 77.25 77.25 90.00
Site moments in Bohr magnetons follow the coordinates.
Fractional positions:
Ca 0.111 0.625 0.250  -0.01
Ca 0.375 0.361 0.750  -0.01
Ca 0.875 0.889 0.750  -0.01
Ca 0.639 0.125 0.250  -0.01
Li 0.250 0.750 0.500  -0.01
Li 0.500 0.500 0.000  -0.01
Os 0.750 0.250 0.500  0.59
Os 0.000 0.000 0.000  0.59

Values from the calculation:
Symmetry ... I-42d (122)
Energy relative to the elements ... 0.91 eV per atom

Entry 3:
La3CdTc: relaxed, GGA-PBE.

a b c (Å): 6.226 6.226 8.868
angles (deg): 102.18 102.18 113.51
Fractional positions:
La 0.298 0.798 0.097
La 0.702 0.202 0.903
La 0.913 0.808 0.721
La 0.308 0.413 0.721
La 0.692 0.587 0.279
La 0.087 0.192 0.279
Tc 0.250 0.250 0.000
Tc 0.750 0.750 0.000
Cd 0.705 0.205 0.500
Cd 0.295 0.795 0.500

Values from the calculation:
Symmetry ... Fmmm (69)
Energy relative to the elements ... -0.14 eV per atom
Distance to the lowest polymorph of the same formula ... 0.0 kJ per mole of atoms

Entry 4:
KAlAsSe2: relaxed, GGA-PBE.

a b c (Å): 5.819 5.819 5.868
angles (deg): 90.00 90.00 90.00
Site moments in Bohr magnetons follow the coordinates.
Fractional positions:
K 0.000 0.000 0.000  0.04
Se 0.500 0.000 0.000  0.30
Se 0.000 0.500 0.000  0.30
Al 0.500 0.500 0.500  0.01
As 0.000 0.000 0.500  0.95

Values from the calculation:
Symmetry ... P4/mmm (123)
Distance to the lowest polymorph of the same formula ... 133.5 kJ per mole of atoms
ΔE_f (raw) ... 1.1030 eV per atom

Entry 5:
Ca2BeBr: relaxed, GGA-PBE.

a b c (Å): 4.016 4.016 8.247
angles (deg): 75.81 75.81 59.93
Site moments in Bohr magnetons follow the coordinates.
Fractional positions:
Be 0.750 0.750 0.750  0.08
Ca 0.008 0.008 0.973  0.04
Ca 0.492 0.492 0.527  0.04
Br 0.250 0.250 0.250  0.01

Values from the calculation:
Symmetry ... C2/m (12)
Distance to the lowest polymorph of the same formula ... 0.0 kJ per mole of atoms
ΔE_f (raw) ... -0.4605 eV per atom

Entry 6:
ZrRhBr2: relaxed, GGA-PBE.

a b c (Å): 8.837 8.837 8.837
angles (deg): 21.63 21.63 21.63
Site moments in Bohr magnetons follow the coordinates.
Fractional positions:
Rh 0.250 0.250 0.250  0.97
Br 0.495 0.495 0.495  0.02
Br 0.005 0.005 0.005  0.02
Zr 0.750 0.750 0.750  -0.02

Values from the calculation:
Symmetry ... R-3m (166)
Distance to the lowest polymorph of the same formula ... 58.9 kJ per mole of atoms
ΔE_f (raw) ... -0.0861 eV per atom

Entry 7:
PmHg2Pt9: relaxed, GGA-PBE.

a b c (Å): 5.426 5.426 9.263
angles (deg): 72.97 72.97 60.00
Fractional positions:
Pt 0.413 0.919 0.254
Pt 0.334 0.334 0.999
Pt 0.666 0.666 0.001
Pt 0.081 0.587 0.746
Pt 0.500 0.500 0.500
Pt 0.413 0.413 0.254
Pt 0.587 0.081 0.746
Pt 0.587 0.587 0.746
Pt 0.919 0.413 0.254
Hg 0.857 0.857 0.429
Hg 0.143 0.143 0.571
Pm 0.000 0.000 0.000

Values from the calculation:
Symmetry ... R-3m (166)
Energy relative to the elements ... -0.32 eV per atom

Entry 8:
Mn3CrSe6: relaxed, GGA-PBE.

a b c (Å): 6.475 6.475 6.851
angles (deg): 61.80 61.80 60.00
Site moments in Bohr magnetons follow the coordinates.
Fractional positions:
Mn 0.157 0.157 0.530  3.76
Mn 0.655 0.655 0.035  3.78
Mn 0.346 0.346 0.963  3.86
Se 0.936 0.564 0.252  -0.07
Se 0.754 0.058 0.749  -0.08
Se 0.058 0.439 0.749  -0.08
Se 0.564 0.248 0.252  -0.07
Se 0.439 0.754 0.749  -0.08
Se 0.248 0.936 0.252  -0.07
Cr 0.844 0.844 0.468  3.12

Values from the calculation:
Symmetry ... R3 (146)
ΔE_f (raw) ... -0.4412 eV per atom

Entry 9:
Al3ReP: relaxed, GGA-PBE.

a b c (Å): 4.767 4.767 4.767
angles (deg): 90.00 90.00 90.00
Fractional positions:
Al 0.500 0.000 0.000
Al 0.000 0.000 0.500
Al 0.000 0.500 0.000
Re 0.000 0.000 0.000
P 0.500 0.500 0.500

Values from the calculation:
Symmetry ... Pm-3m (221)
Energy relative to the elements ... 0.79 eV per atom
Distance to the lowest polymorph of the same formula ... 0.0 kJ per mole of atoms

Entry 10:
MgTcBr6: relaxed, GGA-PBE.

a b c (Å): 7.213 7.213 6.495
angles (deg): 90.37 90.37 119.75
Site moments in Bohr magnetons follow the coordinates.
Fractional positions:
Br 0.001 0.717 0.731  0.05
Br 0.282 0.282 0.737  0.05
Br 0.718 0.718 0.263  0.05
Br 0.283 0.999 0.269  0.05
Br 0.717 0.001 0.731  0.05
Br 0.999 0.283 0.269  0.05
Tc 0.000 0.000 0.500  2.29
Mg 0.000 0.000 0.000  0.01

Values from the calculation:
Symmetry ... C2/m (12)
ΔE_f (raw) ... -0.7771 eV per atom

Entry 11:
Ac2AgHg3Pd12: relaxed, GGA-PBE.

a b c (Å): 8.371 8.371 8.371
angles (deg): 59.91 59.91 59.91
Fractional positions:
Hg 0.000 0.500 0.000
Hg 0.000 0.000 0.500
Hg 0.500 0.000 0.000
Pd 0.386 0.862 0.862
Pd 0.144 0.607 0.607
Pd 0.862 0.862 0.386
Pd 0.862 0.386 0.862
Pd 0.607 0.144 0.607
Pd 0.856 0.393 0.393
Pd 0.393 0.393 0.856
Pd 0.393 0.856 0.393
Pd 0.614 0.138 0.138
Pd 0.138 0.614 0.138
Pd 0.607 0.607 0.144
Pd 0.138 0.138 0.614
Ag 0.000 0.000 0.000
Ac 0.629 0.629 0.629
Ac 0.371 0.371 0.371

Values from the calculation:
Symmetry ... R-3m (166)
Energy relative to the elements ... 0.01 eV per atom

Entry 12:
NaSr3Ir: relaxed, GGA-PBE.

a b c (Å): 8.646 8.646 6.534
angles (deg): 90.00 90.00 129.16
Fractional positions:
Sr 0.441 0.053 0.750
Sr 0.053 0.441 0.250
Sr 0.000 0.000 0.000
Sr 0.559 0.947 0.250
Sr 0.947 0.559 0.750
Sr 0.000 0.000 0.500
Ir 0.837 0.163 0.750
Ir 0.163 0.837 0.250
Na 0.427 0.573 0.750
Na 0.573 0.427 0.250

Values from the calculation:
Symmetry ... Cmcm (63)
Energy relative to the elements ... 0.13 eV per atom
Distance to the lowest polymorph of the same formula ... 24.0 kJ per mole of atoms

Entry 13:
Cu6OF11: relaxed, GGA-PBE.

a b c (Å): 3.100 10.398 6.812
angles (deg): 109.14 88.03 90.61
Site moments in Bohr magnetons follow the coordinates.
Fractional positions:
Cu 0.000 0.313 0.657  0.26
Cu 0.500 0.658 0.829  0.73
Cu 0.499 0.337 0.169  0.78
Cu 0.501 0.013 0.506  -0.20
Cu 0.000 0.676 0.338  0.69
Cu 0.000 0.998 0.999  0.72
F 0.501 0.865 0.932  0.13
F 0.999 0.663 0.637  0.13
F 0.947 0.002 0.294  0.03
F 0.500 0.811 0.405  0.06
F 0.995 0.336 0.356  0.14
F 0.500 0.545 0.272  0.14
F 0.500 0.130 0.065  0.14
F 0.054 0.003 0.708  0.03
F 0.003 0.336 0.981  0.14
F 0.500 0.451 0.726  0.06
F 0.001 0.663 0.025  0.13
O 0.500 0.200 0.600  0.06

Values from the calculation:
Symmetry ... C2 (5)
Distance to the lowest polymorph of the same formula ... 0.1 kJ per mole of atoms
ΔE_f (raw) ... -1.4006 eV per atom

Entry 14:
MgCrCd2: relaxed, GGA-PBE.

a b c (Å): 5.280 5.280 5.280
angles (deg): 132.04 131.80 70.36
Site moments in Bohr magnetons follow the coordinates.
Fractional positions:
Cd 0.000 0.000 0.000  -0.02
Cd 0.750 0.250 0.500  -0.01
Mg 0.250 0.750 0.500  -0.01
Cr 0.500 0.500 0.000  3.73

Values from the calculation:
Symmetry ... Imm2 (44)
Energy relative to the elements ... 0.19 eV per atom

Entry 15:
RbU2MnSe4: relaxed, GGA-PBE.

a b c (Å): 4.117 7.530 14.467
angles (deg): 90.00 90.00 105.87
Site moments in Bohr magnetons follow the coordinates.
Fractional positions:
U 0.367 0.734 0.941  2.51
U 0.633 0.266 0.441  2.51
U 0.367 0.734 0.559  2.51
U 0.633 0.266 0.059  2.51
Se 0.735 0.470 0.611  -0.03
Se 0.265 0.530 0.389  -0.03
Se 0.576 0.151 0.250  -0.02
Se 0.735 0.470 0.889  -0.03
Se 0.424 0.849 0.750  -0.02
Se 0.000 0.000 0.500  -0.06
Se 0.265 0.530 0.111  -0.03
Se 0.000 0.000 0.000  -0.06
Mn 0.170 0.340 0.250  3.33
Mn 0.830 0.660 0.750  3.33
Rb 0.103 0.206 0.750  0.00
Rb 0.897 0.794 0.250  0.00

Values from the calculation:
Symmetry ... Cmcm (63)
ΔE_f (raw) ... -0.9291 eV per atom

Entry 16:
SrPbCl3: relaxed, GGA-PBE.

a b c (Å): 5.691 5.691 5.691
angles (deg): 90.00 90.00 90.00
Fractional positions:
Cl 0.500 0.000 0.000
Cl 0.000 0.000 0.500
Cl 0.000 0.500 0.000
Sr 0.500 0.500 0.500
Pb 0.000 0.000 0.000

Values from the calculation:
Symmetry ... Pm-3m (221)
Distance to the lowest polymorph of the same formula ... 28.4 kJ per mole of atoms
ΔE_f (raw) ... -1.0988 eV per atom

Entry 17:
Ga5Hg12I3: relaxed, GGA-PBE.

a b c (Å): 15.251 15.251 15.251
angles (deg): 109.47 109.47 109.47
Fractional positions:
Hg 0.023 0.603 0.700
Hg 0.200 0.523 0.603
Hg 0.580 0.603 0.403
Hg 0.700 0.103 0.023
Hg 0.920 0.823 0.523
Hg 0.677 0.477 0.580
Hg 0.977 0.397 0.300
Hg 0.603 0.023 0.200
Hg 0.420 0.023 0.323
Hg 0.397 0.420 0.097
Hg 0.800 0.477 0.397
Hg 0.097 0.920 0.397
Hg 0.323 0.800 0.403
Hg 0.397 0.977 0.800
Hg 0.903 0.823 0.800
Hg 0.403 0.300 0.323
Hg 0.420 0.397 0.597
Hg 0.903 0.080 0.603
Hg 0.597 0.700 0.677
Hg 0.477 0.800 0.897
Hg 0.823 0.920 0.023
Hg 0.523 0.200 0.103
Hg 0.603 0.580 0.903
Hg 0.800 0.323 0.903
Hg 0.300 0.897 0.977
Hg 0.403 0.103 0.580
Hg 0.897 0.597 0.920
Hg 0.920 0.097 0.897
Hg 0.177 0.097 0.700
Hg 0.023 0.420 0.823
Hg 0.477 0.677 0.080
Hg 0.097 0.177 0.200
Hg 0.700 0.597 0.177
Hg 0.300 0.403 0.823
Hg 0.523 0.323 0.920
Hg 0.580 0.977 0.677
Hg 0.103 0.700 0.523
Hg 0.103 0.403 0.080
Hg 0.080 0.177 0.477
Hg 0.597 0.897 0.420
Hg 0.200 0.677 0.097
Hg 0.323 0.523 0.420
Hg 0.897 0.300 0.477
Hg 0.977 0.580 0.177
Hg 0.177 0.080 0.977
Hg 0.677 0.200 0.597
Hg 0.823 0.903 0.300
Hg 0.080 0.903 0.103
Ga 0.000 0.000 0.000
Ga 0.500 0.500 0.000
Ga 0.750 0.625 0.375
Ga 0.625 0.750 0.875
Ga 0.000 0.500 0.000
Ga 0.625 0.875 0.250
Ga 0.500 0.500 0.500
Ga 0.125 0.375 0.250
Ga 0.500 0.000 0.000
Ga 0.250 0.375 0.625
Ga 0.250 0.875 0.125
Ga 0.500 0.000 0.500
Ga 0.000 0.500 0.500
Ga 0.875 0.625 0.750
Ga 0.375 0.125 0.750
Ga 0.375 0.250 0.125
Ga 0.000 0.000 0.500
Ga 0.750 0.125 0.875
Ga 0.875 0.250 0.625
Ga 0.125 0.750 0.375
I 0.625 0.250 0.375
I 0.625 0.375 0.750
I 0.750 0.375 0.125
I 0.875 0.750 0.125
I 0.250 0.125 0.375
I 0.125 0.875 0.750
I 0.750 0.875 0.625
I 0.375 0.750 0.625
I 0.125 0.250 0.875
I 0.375 0.625 0.250
I 0.875 0.125 0.250
I 0.250 0.625 0.875

Values from the calculation:
Symmetry ... Ia-3d (230)
ΔE_f (raw) ... 0.0202 eV per atom

Entry 18:
Nb2VI: relaxed, GGA-PBE.

a b c (Å): 4.685 4.685 4.685
angles (deg): 60.00 60.00 60.00
Fractional positions:
V 0.000 0.000 0.000
Nb 0.250 0.250 0.250
Nb 0.750 0.750 0.750
I 0.500 0.500 0.500

Values from the calculation:
Symmetry ... Fm-3m (225)
Distance to the lowest polymorph of the same formula ... 0.0 kJ per mole of atoms
ΔE_f (raw) ... 0.6814 eV per atom

Entry 19:
Tb4As3Br: relaxed, GGA-PBE.

a b c (Å): 4.137 7.194 7.194
angles (deg): 70.79 90.00 90.00
Fractional positions:
As 0.000 0.500 0.500
As 0.500 0.000 0.500
As 0.000 0.000 0.000
Tb 0.500 0.240 0.740
Tb 0.500 0.760 0.260
Tb 0.000 0.772 0.728
Tb 0.000 0.228 0.272
Br 0.500 0.500 0.000

Values from the calculation:
Symmetry ... Cmmm (65)
ΔE_f (raw) ... -1.4763 eV per atom

Entry 20:
Th5CuSe4: relaxed, GGA-PBE.

a b c (Å): 5.934 7.302 7.302
angles (deg): 80.50 66.03 66.03
Fractional positions:
Th 0.709 0.192 0.393
Th 0.101 0.607 0.192
Th 0.293 0.808 0.607
Th 0.900 0.393 0.808
Th 0.502 0.000 0.000
Se 0.198 0.206 0.400
Se 0.404 0.400 0.794
Se 0.598 0.600 0.206
Se 0.804 0.794 0.600
Cu 0.002 0.000 0.000

Values from the calculation:
Symmetry ... I4 (79)
ΔE_f (raw) ... -1.2507 eV per atom